A geometry-optimized LiVCl3 structure. Source: Alexandria via LeMat-Bulk, functional PBE-GGA.

POSCAR file:
```
LiVCl3
1.0
-1.309 4.026 -2.486
0.205 -2.529 -4.203
-4.727 -1.224 0.506
Cl V Li
3 1 1
direct
0.000 0.000 0.500
0.000 0.500 0.000
0.500 0.000 0.000
0.000 0.000 0.000
0.500 0.500 0.500
```

Output
* mass density: 2.305 g/cm3
* offset from the most stable computed form: 274 meV/atom
* V: 118 Å³/f.u.